No. 1
First-principles (PBE-GGA) data for crystalline Pr8Sm3Er4 at its relaxed geometry, as listed in the Alexandria database.

Output
Space group = No. 12
DFT formation energy = 4.86 eV/f.u.

```
Pr8Sm3Er4
1.0
6.9109 -0.1586 -0.2278
-3.4226 8.6473 1.6221
-3.4226 -1.4806 8.6726
Pr Sm Er
8 3 4
direct
0.7620 0.2957 0.2957 Pr
0.0000 0.7064 0.2936 Pr
0.1875 0.2430 0.2430 Pr
0.5000 0.7541 0.2459 Pr
0.5000 0.2459 0.7541 Pr
0.8125 0.7570 0.7570 Pr
0.0000 0.2936 0.7064 Pr
0.2380 0.7043 0.7043 Pr
0.5000 0.5000 0.0000 Sm
0.5000 0.0000 0.5000 Sm
0.5000 0.5000 0.5000 Sm
0.5000 0.0000 0.0000 Er
0.0000 0.5000 0.0000 Er
0.0000 0.0000 0.0000 Er
0.0000 0.0000 0.5000 Er
```



No. 2
First-principles (PBE-GGA) data for crystalline Pr3Sm4Er at its relaxed geometry, as listed in the Alexandria database.

Output
Space group = No. 12
DFT formation energy = 1.66 eV/f.u.
Polymorph energy (0 for the lowest one) = 0.1771 eV per atom

```
Pr3Sm4Er
1.0
-0.5391 3.2325 -1.2174
-5.1676 -1.9717 -2.9470
-5.7227 1.4782 11.4790
Pr Sm Er
3 4 1
direct
0.0000 0.5000 0.0000 Pr
0.1444 0.7562 0.2887 Pr
0.8556 0.2438 0.7113 Pr
0.7214 0.2373 0.4428 Sm
0.2786 0.7627 0.5572 Sm
0.1058 0.2411 0.2116 Sm
0.8942 0.7589 0.7884 Sm
0.5000 0.0000 0.0000 Er
```



No. 3
First-principles (PBE-GGA) data for crystalline Pr12Sm5Er2 at its relaxed geometry, as listed in the Alexandria database.

Output
Space group = No. 12
DFT formation energy = 3.10 eV/f.u.
Polymorph energy (0 for the lowest one) = 0.0417 eV per atom

```
Pr12Sm5Er2
1.0
7.6073 0.0000 0.0000
-3.8037 8.8439 3.9878
0.0000 0.3320 10.1687
Pr Sm Er
12 5 2
direct
0.9934 0.9868 0.2130 Pr
0.0897 0.6809 0.8496 Pr
0.5911 0.6809 0.8496 Pr
0.0738 0.6688 0.4993 Pr
0.5950 0.6688 0.4993 Pr
0.5084 0.0167 0.6728 Pr
0.4916 0.9833 0.3272 Pr
0.9262 0.3312 0.5007 Pr
0.4050 0.3312 0.5007 Pr
0.9103 0.3191 0.1504 Pr
0.4089 0.3191 0.1504 Pr
0.0066 0.0132 0.7870 Pr
0.1748 0.3496 0.8300 Sm
0.3224 0.6449 0.1958 Sm
0.0000 0.0000 0.5000 Sm
0.6776 0.3551 0.8042 Sm
0.8252 0.6504 0.1700 Sm
0.7007 0.0000 0.0000 Er
0.2993 0.0000 0.0000 Er
```



No. 4
First-principles (PBE-GGA) data for crystalline PrSm12Er6 at its relaxed geometry, as listed in the Alexandria database.

Output
Space group = No. 166
DFT formation energy = 3.77 eV/f.u.
Polymorph energy (0 for the lowest one) = 0.0577 eV per atom

```
PrSm12Er6
1.0
8.6927 -0.1637 -1.2030
-1.3585 8.5875 -1.2030
-0.1426 -0.1637 8.7744
Pr Sm Er
1 12 6
direct
0.0000 0.0000 0.0000 Pr
0.7584 0.2416 0.5000 Sm
0.3553 0.0822 0.3553 Sm
0.3553 0.3553 0.0822 Sm
0.9178 0.6447 0.6447 Sm
0.6447 0.6447 0.9178 Sm
0.6447 0.9178 0.6447 Sm
0.5000 0.7584 0.2416 Sm
0.2416 0.5000 0.7584 Sm
0.2416 0.7584 0.5000 Sm
0.5000 0.2416 0.7584 Sm
0.7584 0.5000 0.2416 Sm
0.0822 0.3553 0.3553 Sm
0.8993 0.3392 0.8993 Er
0.8993 0.8993 0.3392 Er
0.3392 0.8993 0.8993 Er
0.1007 0.1007 0.6608 Er
0.1007 0.6608 0.1007 Er
0.6608 0.1007 0.1007 Er
```



No. 5
First-principles (PBE-GGA) data for crystalline Pr2SmEr3 at its relaxed geometry, as listed in the Alexandria database.

Output
Space group = No. 12
DFT formation energy = 0.72 eV/f.u.
Polymorph energy (0 for the lowest one) = 0.0153 eV per atom

```
Pr2SmEr3
1.0
-0.4654 3.1385 -1.5231
-8.9966 1.1775 1.1092
-0.4443 7.1866 10.8784
Pr Sm Er
4 2 6
direct
0.8198 0.4799 0.8806 Pr
0.1802 0.5201 0.1194 Pr
0.6550 0.1574 0.5326 Pr
0.3450 0.8426 0.4674 Pr
0.4371 0.4829 0.6429 Sm
0.5629 0.5171 0.3571 Sm
0.0395 0.1273 0.7938 Er
0.9605 0.8727 0.2062 Er
0.5984 0.8297 0.9735 Er
0.4016 0.1703 0.0265 Er
0.7366 0.8188 0.7080 Er
0.2634 0.1812 0.2920 Er
```



No. 6
First-principles (PBE-GGA) data for crystalline Pr3Sm6Er2 at its relaxed geometry, as listed in the Alexandria database.

Output
Space group = No. 166
DFT formation energy = 1.18 eV/f.u.
Polymorph energy (0 for the lowest one) = 0.0000 eV per atom

```
Pr3Sm6Er2
1.0
-0.3708 3.9327 4.1932
-1.7974 -1.5477 5.2498
11.6081 -1.7454 6.6205
Pr Sm Er
3 6 2
direct
0.0000 0.0000 0.0000 Pr
0.7172 0.7172 0.8483 Pr
0.2828 0.2828 0.1517 Pr
0.9079 0.9079 0.2764 Sm
0.0921 0.0921 0.7236 Sm
0.8134 0.8134 0.5597 Sm
0.1866 0.1866 0.4403 Sm
0.6242 0.6242 0.1274 Sm
0.3758 0.3758 0.8726 Sm
0.5402 0.5402 0.3794 Er
0.4598 0.4598 0.6206 Er
```



No. 7
First-principles (PBE-GGA) data for crystalline Pr4SmEr5 at its relaxed geometry, as listed in the Alexandria database.

Output
Space group = No. 2
DFT formation energy = 1.95 eV/f.u.
Polymorph energy (0 for the lowest one) = 0.0000 eV per atom

```
Pr4SmEr5
1.0
-1.2405 -3.2721 0.5047
8.5237 -2.0921 7.2493
-4.2340 4.4875 6.2351
Pr Sm Er
4 1 5
direct
0.6580 0.2497 0.3186 Pr
0.9644 0.2518 0.9330 Pr
0.3420 0.7503 0.6814 Pr
0.0356 0.7482 0.0670 Pr
0.5000 0.0000 0.0000 Sm
0.1729 0.5451 0.3452 Er
0.1724 0.9509 0.3480 Er
0.8276 0.0491 0.6520 Er
0.5000 0.5000 0.0000 Er
0.8271 0.4549 0.6548 Er
```



No. 8
First-principles (PBE-GGA) data for crystalline PrSm4Er3 at its relaxed geometry, as listed in the Alexandria database.

Output
Space group = No. 31
DFT formation energy = 0.19 eV/f.u.
Polymorph energy (0 for the lowest one) = 0.0000 eV per atom

```
PrSm4Er3
1.0
-0.0301 4.6319 4.2938
-4.7764 -3.7879 4.0527
8.7116 -5.0690 5.5293
Pr Sm Er
2 8 6
direct
0.1473 0.3754 0.0000 Pr
0.6473 0.6246 0.5000 Pr
0.1443 0.8721 0.0000 Sm
0.6508 0.1272 0.0000 Sm
0.9819 0.1258 0.2535 Sm
0.4819 0.8742 0.2465 Sm
0.1508 0.8728 0.5000 Sm
0.6443 0.1279 0.5000 Sm
0.4819 0.8742 0.7535 Sm
0.9819 0.1258 0.7465 Sm
0.6478 0.6230 0.0000 Er
0.9806 0.6228 0.2503 Er
0.4806 0.3772 0.2497 Er
0.1478 0.3770 0.5000 Er
0.4806 0.3772 0.7503 Er
0.9806 0.6228 0.7497 Er
```



No. 9
First-principles (PBE-GGA) data for crystalline Pr2SmEr at its relaxed geometry, as listed in the Alexandria database.

Output
Space group = No. 166
DFT formation energy = 0.06 eV/f.u.
Polymorph energy (0 for the lowest one) = 0.0000 eV per atom

```
Pr2SmEr
1.0
-3.4601 0.8390 0.7940
-2.4101 -2.6526 0.6796
0.7839 -0.1563 11.9610
Pr Sm Er
2 1 1
direct
0.7488 0.7488 0.7536 Pr
0.2512 0.2512 0.2464 Pr
0.5000 0.5000 0.5000 Sm
0.0000 0.0000 0.0000 Er
```



No. 10
First-principles (PBE-GGA) data for crystalline Pr8SmEr2 at its relaxed geometry, as listed in the Alexandria database.

Output
Space group = No. 12
DFT formation energy = 1.46 eV/f.u.
Polymorph energy (0 for the lowest one) = 0.0266 eV per atom

```
Pr8SmEr2
1.0
-0.7384 -0.2789 -6.0124
5.9125 -4.2480 -5.6844
-1.3325 -9.2397 -1.9854
Pr Sm Er
8 1 2
direct
0.8200 0.0980 0.2382 Pr
0.8200 0.3362 0.7618 Pr
0.2955 0.4220 0.0000 Pr
0.5000 0.7944 0.4112 Pr
0.5000 0.2056 0.5888 Pr
0.7045 0.5780 0.0000 Pr
0.1800 0.6638 0.2382 Pr
0.1800 0.9020 0.7618 Pr
0.5000 0.0000 0.0000 Sm
0.0000 0.3100 0.3799 Er
0.0000 0.6900 0.6201 Er
```



No. 11
First-principles (PBE-GGA) data for crystalline PrSmEr6 at its relaxed geometry, as listed in the Alexandria database.

Output
Space group = No. 123
DFT formation energy = 0.20 eV/f.u.
Polymorph energy (0 for the lowest one) = 0.0000 eV per atom

```
PrSmEr6
1.0
5.0158 0.0000 0.0000
0.0000 5.0158 0.0000
0.0000 0.0000 10.0312
Pr Sm Er
1 1 6
direct
0.0000 0.0000 0.5000 Pr
0.0000 0.0000 0.0000 Sm
0.5000 0.5000 0.0000 Er
0.5000 0.5000 0.5000 Er
0.5000 0.0000 0.2484 Er
0.5000 0.0000 0.7516 Er
0.0000 0.5000 0.2484 Er
0.0000 0.5000 0.7516 Er
```



No. 12
First-principles (PBE-GGA) data for crystalline Pr12SmEr6 at its relaxed geometry, as listed in the Alexandria database.

Output
Space group = No. 148
DFT formation energy = 4.45 eV/f.u.
Polymorph energy (0 for the lowest one) = 0.1076 eV per atom

```
Pr12SmEr6
1.0
8.8984 0.1203 -2.7398
-3.7421 8.0742 -2.7398
0.0757 0.1203 9.3103
Pr Sm Er
12 1 6
direct
0.4810 0.1943 0.5782 Pr
0.1943 0.5782 0.4810 Pr
0.5782 0.4810 0.1943 Pr
0.5190 0.8057 0.4218 Pr
0.8057 0.4218 0.5190 Pr
0.4218 0.5190 0.8057 Pr
0.2788 0.1356 0.8288 Pr
0.1712 0.7212 0.8644 Pr
0.8644 0.1712 0.7212 Pr
0.7212 0.8644 0.1712 Pr
0.8288 0.2788 0.1356 Pr
0.1356 0.8288 0.2788 Pr
0.0000 0.0000 0.0000 Sm
0.0740 0.1890 0.4592 Er
0.8110 0.5408 0.9260 Er
0.5408 0.9260 0.8110 Er
0.9260 0.8110 0.5408 Er
0.1890 0.4592 0.0740 Er
0.4592 0.0740 0.1890 Er
```



The highest DFT formation energy belongs to which entry? Pr8Sm3Er4